No. 1
Material: Ba6P2SeI2
Method: DFT, GGA-PBE
State: optimized geometry

formation energy from raw total energies = -1374 meV per atom

Lattice parameters (Å, degrees): 8.2465 8.2465 8.6027 99.01 99.01 119.83
Fractional positions:
Ba  0.0886  0.4290  0.7916
Ba  0.2200  0.2200  0.2095
Ba  0.4290  0.0886  0.7916
Ba  0.5710  0.9114  0.2084
Ba  0.7800  0.7800  0.7905
Ba  0.9114  0.5710  0.2084
P  0.1682  0.8318  0.0000
P  0.8318  0.1682  0.0000
Se  0.5000  0.5000  0.0000
I  0.3362  0.6638  0.5000
I  0.6638  0.3362  0.5000

=====

No. 2
Material: Cs2RbYBr6
Method: DFT, GGA-PBE
State: optimized geometry

formation energy from raw total energies = -1844 meV per atom

Lattice parameters (Å, degrees): 8.5890 8.5890 8.5890 60.00 60.00 60.00
Fractional positions:
Cs  0.2500  0.2500  0.2500
Cs  0.7500  0.7500  0.7500
Rb  0.0000  0.0000  0.0000
Y  0.5000  0.5000  0.5000
Br  0.2696  0.2696  0.7304
Br  0.2696  0.7304  0.2696
Br  0.2696  0.7304  0.7304
Br  0.7304  0.2696  0.2696
Br  0.7304  0.2696  0.7304
Br  0.7304  0.7304  0.2696

=====

No. 3
Material: Pu2Si3Ni4Ge
Method: DFT, GGA-PBE
State: optimized geometry

formation energy from raw total energies = -602 meV per atom

Lattice parameters (Å, degrees): 4.0307 4.0307 9.4812 90.00 90.00 90.00
Fractional positions:
Pu  0.0000  0.5000  0.2476
Pu  0.5000  0.0000  0.7524
Si  0.0000  0.5000  0.8729
Si  0.5000  0.0000  0.1271
Si  0.5000  0.5000  0.5000
Ni  0.0000  0.0000  0.0000
Ni  0.0000  0.5000  0.6295
Ni  0.5000  0.0000  0.3705
Ni  0.5000  0.5000  0.0000
Ge  0.0000  0.0000  0.5000

=====

No. 4
Material: SnBiBr5
Method: DFT, GGA-PBE
State: optimized geometry

formation energy from raw total energies = -699 meV per atom

Lattice parameters (Å, degrees): 8.4450 4.3242 14.2036 90.00 94.14 90.00
Fractional positions:
Sn  0.0939  0.2500  0.1325
Sn  0.9061  0.7500  0.8675
Bi  0.4037  0.7500  0.3528
Bi  0.5963  0.2500  0.6472
Br  0.0693  0.7500  0.3147
Br  0.1460  0.2500  0.9341
Br  0.3137  0.2500  0.4864
Br  0.3488  0.7500  0.1369
Br  0.3927  0.7500  0.7062
Br  0.6073  0.2500  0.2938
Br  0.6512  0.2500  0.8631
Br  0.6863  0.7500  0.5136
Br  0.8540  0.7500  0.0659
Br  0.9307  0.2500  0.6853

=====

No. 5
Material: YbB2Ir3
Method: DFT, GGA-PBE
State: optimized geometry

energy of formation from the pure elements = -0.590 eV per atom

Lattice parameters (Å, degrees): 5.6480 5.6480 2.9454 90.00 90.00 120.00
Fractional positions:
Yb  0.0000  0.0000  0.0000
B  0.3333  0.6667  0.0000
B  0.6667  0.3333  0.0000
Ir  0.0000  0.5000  0.5000
Ir  0.5000  0.0000  0.5000
Ir  0.5000  0.5000  0.5000

=====

No. 6
Material: TlAu2
Method: DFT, GGA-PBE
State: optimized geometry

energy of formation from the pure elements = 0.048 eV per atom

Lattice parameters (Å, degrees): 10.3908 3.4961 7.6208 90.00 95.34 90.00
Fractional positions:
Tl  0.0000  0.0000  0.0000
Tl  0.2384  0.0000  0.7183
Tl  0.5000  0.5000  0.0000
Tl  0.7384  0.5000  0.7183
Au  0.0065  0.5000  0.6616
Au  0.1481  0.5000  0.3589
Au  0.2790  0.0000  0.1382
Au  0.4257  0.5000  0.3767
Au  0.5065  0.0000  0.6616
Au  0.6481  0.0000  0.3589
Au  0.7790  0.5000  0.1382
Au  0.9257  0.0000  0.3767

=====

No. 7
Material: Mg8CdIn6
Method: DFT, GGA-PBE
State: optimized geometry

energy of formation from the pure elements = 0.037 eV per atom

Lattice parameters (Å, degrees): 8.0165 8.0165 8.0165 63.05 63.05 63.05
Fractional positions:
Mg  0.0521  0.3832  0.7161
Mg  0.1671  0.1671  0.1671
Mg  0.2839  0.9479  0.6168
Mg  0.3832  0.7161  0.0521
Mg  0.6168  0.2839  0.9479
Mg  0.7161  0.0521  0.3832
Mg  0.8329  0.8329  0.8329
Mg  0.9479  0.6168  0.2839
Cd  0.5000  0.5000  0.5000
In  0.1044  0.7734  0.4395
In  0.2266  0.5605  0.8956
In  0.4395  0.1044  0.7734
In  0.5605  0.8956  0.2266
In  0.7734  0.4395  0.1044
In  0.8956  0.2266  0.5605

=====

No. 8
Material: LiCd3Ag5
Method: DFT, GGA-PBE
State: optimized geometry

energy of formation from the pure elements = 0.137 eV per atom

Lattice parameters (Å, degrees): 7.3009 7.3009 8.5857 97.18 97.18 65.25
Fractional positions:
Li  0.1251  0.1251  0.2774
Li  0.8749  0.8749  0.7226
Cd  0.0000  0.0000  0.0000
Cd  0.0000  0.0000  0.5000
Cd  0.2726  0.2726  0.6210
Cd  0.2909  0.2909  0.9874
Cd  0.7091  0.7091  0.0126
Cd  0.7274  0.7274  0.3790
Ag  0.0721  0.7046  0.2076
Ag  0.2954  0.9279  0.7924
Ag  0.3270  0.3270  0.3179
Ag  0.3313  0.6687  0.5000
Ag  0.4815  0.4815  0.8282
Ag  0.5185  0.5185  0.1718
Ag  0.6687  0.3313  0.5000
Ag  0.6730  0.6730  0.6821
Ag  0.7046  0.0721  0.2076
Ag  0.9279  0.2954  0.7924

=====

No. 9
Material: K8Au3O2
Method: DFT, GGA-PBE
State: optimized geometry

formation energy from raw total energies = -556 meV per atom

Lattice parameters (Å, degrees): 7.7955 7.7955 10.2775 111.91 111.91 60.51
Fractional positions:
K  0.2304  0.7343  0.6978
K  0.2657  0.7696  0.3022
K  0.2680  0.2680  0.3051
K  0.3169  0.3169  0.9504
K  0.6831  0.6831  0.0496
K  0.7320  0.7320  0.6949
K  0.7343  0.2304  0.6978
K  0.7696  0.2657  0.3022
Au  0.0000  0.0000  0.0000
Au  0.1936  0.1936  0.5923
Au  0.8064  0.8064  0.4077
O  0.4051  0.4051  0.2116
O  0.5949  0.5949  0.7884

=====

No. 10
Material: HoPaIr4
Method: DFT, GGA-PBE
State: optimized geometry

energy of formation from the pure elements = -0.783 eV per atom

Lattice parameters (Å, degrees): 5.3567 5.3567 5.3567 60.00 60.00 60.00
Fractional positions:
Ho  0.0000  0.0000  0.0000
Pa  0.2500  0.2500  0.2500
Ir  0.1237  0.6254  0.6254
Ir  0.6254  0.1237  0.6254
Ir  0.6254  0.6254  0.1237
Ir  0.6254  0.6254  0.6254

=====

No. 11
Material: Mg2CdSiRh
Method: DFT, GGA-PBE
State: optimized geometry

formation energy from raw total energies = 902 meV per atom

Lattice parameters (Å, degrees): 5.0066 5.0066 4.9354 90.00 90.00 90.00
Fractional positions:
Mg  0.0000  0.5000  0.0000
Mg  0.5000  0.0000  0.0000
Cd  0.0000  0.0000  0.0000
Si  0.5000  0.5000  0.5000
Rh  0.0000  0.0000  0.5000

=====

No. 12
Material: Ba4Pd2Cl
Method: DFT, GGA-PBE
State: optimized geometry

formation energy from raw total energies = -889 meV per atom

Lattice parameters (Å, degrees): 15.7849 15.7849 15.7849 16.73 16.73 16.73
Fractional positions:
Ba  0.1238  0.1238  0.1238
Ba  0.2861  0.2861  0.2861
Ba  0.7139  0.7139  0.7139
Ba  0.8762  0.8762  0.8762
Pd  0.4190  0.4190  0.4190
Pd  0.5810  0.5810  0.5810
Cl  0.0000  0.0000  0.0000

=====

No. 13
Material: Tm3Sc2Os2
Method: DFT, GGA-PBE
State: optimized geometry

energy of formation from the pure elements = -0.292 eV per atom

Lattice parameters (Å, degrees): 11.6008 3.8079 7.9854 90.00 111.66 90.00
Fractional positions:
Tm  0.0000  0.0000  0.0000
Tm  0.1233  0.0000  0.4364
Tm  0.3767  0.5000  0.5636
Tm  0.5000  0.5000  0.0000
Tm  0.6233  0.5000  0.4364
Tm  0.8767  0.0000  0.5636
Sc  0.1718  0.5000  0.8274
Sc  0.3282  0.0000  0.1726
Sc  0.6718  0.0000  0.8274
Sc  0.8282  0.5000  0.1726
Os  0.1832  0.5000  0.2118
Os  0.3168  0.0000  0.7882
Os  0.6832  0.0000  0.2118
Os  0.8168  0.5000  0.7882

=====

No. 14
Material: Cs3SmTl2Br9
Method: DFT, GGA-PBE
State: optimized geometry

formation energy from raw total energies = -1458 meV per atom

Lattice parameters (Å, degrees): 8.4864 8.4864 10.3890 90.00 90.00 120.00
Fractional positions:
Cs  0.0000  0.0000  0.0000
Cs  0.3333  0.6667  0.6767
Cs  0.6667  0.3333  0.3233
Sm  0.0000  0.0000  0.5000
Tl  0.3333  0.6667  0.1570
Tl  0.6667  0.3333  0.8430
Br  0.0000  0.5000  0.0000
Br  0.1597  0.3194  0.3433
Br  0.1597  0.8403  0.3433
Br  0.3194  0.1597  0.6567
Br  0.5000  0.0000  0.0000
Br  0.5000  0.5000  0.0000
Br  0.6806  0.8403  0.3433
Br  0.8403  0.1597  0.6567
Br  0.8403  0.6806  0.6567

=====

No. 15
Material: Mg2TcNi
Method: DFT, GGA-PBE
State: optimized geometry

energy of formation from the pure elements = 0.176 eV per atom

Lattice parameters (Å, degrees): 2.7489 3.5430 6.1833 90.00 90.00 90.00
Fractional positions:
Mg  0.0000  0.0000  0.2322
Mg  0.0000  0.0000  0.7678
Tc  0.5000  0.5000  0.5000
Ni  0.5000  0.5000  0.0000

=====

No. 16
Material: SrHgOs2
Method: DFT, GGA-PBE
State: optimized geometry

energy of formation from the pure elements = 0.485 eV per atom

Lattice parameters (Å, degrees): 4.6125 4.6125 16.7643 90.00 90.00 120.00
Fractional positions:
Sr  0.0000  0.0000  0.0000
Sr  0.3333  0.6667  0.6667
Sr  0.6667  0.3333  0.3333
Hg  0.0000  0.0000  0.5000
Hg  0.3333  0.6667  0.1667
Hg  0.6667  0.3333  0.8333
Os  0.0000  0.0000  0.1763
Os  0.0000  0.0000  0.8237
Os  0.3333  0.6667  0.4904
Os  0.3333  0.6667  0.8429
Os  0.6667  0.3333  0.1571
Os  0.6667  0.3333  0.5096

=====

No. 17
Material: RbGa2BiPb
Method: DFT, GGA-PBE
State: optimized geometry

energy of formation from the pure elements = -0.078 eV per atom

Lattice parameters (Å, degrees): 4.9321 5.3268 12.3726 90.00 90.00 90.00
Fractional positions:
Rb  0.0000  0.0000  0.0000
Rb  0.5000  0.5000  0.5000
Ga  0.0000  0.0000  0.3729
Ga  0.0000  0.5000  0.2720
Ga  0.5000  0.0000  0.7720
Ga  0.5000  0.5000  0.8729
Bi  0.0000  0.0000  0.6159
Bi  0.5000  0.5000  0.1159
Pb  0.0000  0.5000  0.7539
Pb  0.5000  0.0000  0.2539

=====

No. 18
Material: Dy2ZnCo2Ni5
Method: DFT, GGA-PBE
State: optimized geometry

energy of formation from the pure elements = -0.184 eV per atom

Lattice parameters (Å, degrees): 8.6983 8.6983 3.7817 90.00 90.00 90.00
Fractional positions:
Dy  0.1798  0.3202  0.0000
Dy  0.3202  0.8202  0.0000
Dy  0.6798  0.1798  0.0000
Dy  0.8202  0.6798  0.0000
Zn  0.0000  0.0000  0.0000
Zn  0.5000  0.5000  0.0000
Co  0.1163  0.6163  0.0000
Co  0.3837  0.1163  0.0000
Co  0.6163  0.8837  0.0000
Co  0.8837  0.3837  0.0000
Ni  0.0000  0.5000  0.5000
Ni  0.0616  0.7927  0.5000
Ni  0.2073  0.0616  0.5000
Ni  0.2927  0.5616  0.5000
Ni  0.4384  0.2927  0.5000
Ni  0.5000  0.0000  0.5000
Ni  0.5616  0.7073  0.5000
Ni  0.7073  0.4384  0.5000
Ni  0.7927  0.9384  0.5000
Ni  0.9384  0.2073  0.5000

=====

No. 19
Material: Ba2TlBi
Method: DFT, GGA-PBE
State: optimized geometry

energy of formation from the pure elements = -0.587 eV per atom

Lattice parameters (Å, degrees): 8.6454 8.6454 8.6454 90.00 90.00 90.00
Fractional positions:
Ba  0.2500  0.2500  0.2500
Ba  0.2500  0.2500  0.7500
Ba  0.2500  0.7500  0.2500
Ba  0.2500  0.7500  0.7500
Ba  0.7500  0.2500  0.2500
Ba  0.7500  0.2500  0.7500
Ba  0.7500  0.7500  0.2500
Ba  0.7500  0.7500  0.7500
Tl  0.0000  0.0000  0.0000
Tl  0.0000  0.5000  0.5000
Tl  0.5000  0.0000  0.5000
Tl  0.5000  0.5000  0.0000
Bi  0.0000  0.0000  0.5000
Bi  0.0000  0.5000  0.0000
Bi  0.5000  0.0000  0.0000
Bi  0.5000  0.5000  0.5000

=====

No. 20
Material: Sr2ZrIn
Method: DFT, GGA-PBE
State: optimized geometry

energy of formation from the pure elements = 0.243 eV per atom

Lattice parameters (Å, degrees): 5.1669 5.1669 9.5422 90.00 90.00 90.00
Fractional positions:
Sr  0.0000  0.0000  0.0000
Sr  0.0000  0.5000  0.2500
Sr  0.5000  0.0000  0.7500
Sr  0.5000  0.5000  0.5000
Zr  0.0000  0.5000  0.7500
Zr  0.5000  0.0000  0.2500
In  0.0000  0.0000  0.5000
In  0.5000  0.5000  0.0000